1.
Tb2NiP3Ir4: relaxed, PBE.

Values from the calculation:
- Energy relative to the elements: -0.90 eV per atom

The structure in CIF format:
```
data_Tb2NiP3Ir4
_symmetry_space_group_name_H-M 'P 1'
_symmetry_Int_Tables_number 1
_symmetry_space_group_name_Hall 'P 1'
_cell_length_a 4.073
_cell_length_b 4.073
_cell_length_c 9.792
_cell_angle_alpha 90.00
_cell_angle_beta 90.00
_cell_angle_gamma 90.00
loop_
_atom_site_label
_atom_site_type_symbol
_atom_site_fract_x
_atom_site_fract_y
_atom_site_fract_z
Ir1 Ir 0.000 0.000 0.000
Ir2 Ir 0.500 0.000 0.630
Ir3 Ir 0.000 0.500 0.370
Ir4 Ir 0.500 0.500 0.000
P1 P 0.000 0.500 0.139
P2 P 0.000 0.000 0.500
P3 P 0.500 0.000 0.861
Tb1 Tb 0.000 0.500 0.742
Tb2 Tb 0.500 0.000 0.258
Ni1 Ni 0.500 0.500 0.500
```



2.
Th2Ni3P4Ir: relaxed, PBE.

Values from the calculation:
- Energy relative to the elements: -0.98 eV per atom

The structure in CIF format:
```
data_Th2Ni3P4Ir
_symmetry_space_group_name_H-M 'P 1'
_symmetry_Int_Tables_number 1
_symmetry_space_group_name_Hall 'P 1'
_cell_length_a 4.141
_cell_length_b 4.141
_cell_length_c 9.193
_cell_angle_alpha 90.00
_cell_angle_beta 90.00
_cell_angle_gamma 90.00
loop_
_atom_site_label
_atom_site_type_symbol
_atom_site_fract_x
_atom_site_fract_y
_atom_site_fract_z
Th1 Th 0.500 0.000 0.244
Th2 Th 0.000 0.500 0.756
Ni1 Ni 0.500 0.000 0.888
Ni2 Ni 0.000 0.000 0.500
Ni3 Ni 0.000 0.500 0.112
P1 P 0.000 0.500 0.364
P2 P 0.500 0.000 0.636
P3 P 0.500 0.500 0.000
P4 P 0.000 0.000 0.000
Ir1 Ir 0.500 0.500 0.500
```



3.
TiNi2PIr: relaxed, PBE.

Values from the calculation:
- Energy relative to the elements: 0.94 eV per atom

The structure in CIF format:
```
data_TiNi2PIr
_symmetry_space_group_name_H-M 'P 1'
_symmetry_Int_Tables_number 1
_symmetry_space_group_name_Hall 'P 1'
_cell_length_a 4.542
_cell_length_b 4.583
_cell_length_c 4.542
_cell_angle_alpha 90.00
_cell_angle_beta 90.00
_cell_angle_gamma 90.00
loop_
_atom_site_label
_atom_site_type_symbol
_atom_site_fract_x
_atom_site_fract_y
_atom_site_fract_z
Ni1 Ni 0.500 0.000 0.000
Ni2 Ni 0.000 0.000 0.500
P1 P 0.500 0.500 0.500
Ti1 Ti 0.000 0.500 0.000
Ir1 Ir 0.000 0.000 0.000
```



4.
Tm2Ni12P3Ir: relaxed, PBE.

Values from the calculation:
- Energy relative to the elements: 0.03 eV per atom

The structure in CIF format:
```
data_Tm2Ni12P3Ir
_symmetry_space_group_name_H-M 'P 1'
_symmetry_Int_Tables_number 1
_symmetry_space_group_name_Hall 'P 1'
_cell_length_a 7.038
_cell_length_b 7.038
_cell_length_c 7.038
_cell_angle_alpha 65.20
_cell_angle_beta 65.20
_cell_angle_gamma 65.20
loop_
_atom_site_label
_atom_site_type_symbol
_atom_site_fract_x
_atom_site_fract_y
_atom_site_fract_z
Ni1 Ni 0.653 0.104 0.653
Ni2 Ni 0.135 0.135 0.614
Ni3 Ni 0.865 0.386 0.865
Ni4 Ni 0.135 0.614 0.135
Ni5 Ni 0.614 0.135 0.135
Ni6 Ni 0.653 0.653 0.104
Ni7 Ni 0.347 0.347 0.896
Ni8 Ni 0.104 0.653 0.653
Ni9 Ni 0.865 0.865 0.386
Ni10 Ni 0.896 0.347 0.347
Ni11 Ni 0.386 0.865 0.865
Ni12 Ni 0.347 0.896 0.347
P1 P 0.000 0.500 0.000
P2 P 0.000 0.000 0.500
P3 P 0.500 0.000 0.000
Ir1 Ir 0.000 0.000 0.000
Tm1 Tm 0.605 0.605 0.605
Tm2 Tm 0.395 0.395 0.395
```



5.
Tm3Ni9P2Ir: relaxed, PBE.

Values from the calculation:
- Energy relative to the elements: -0.41 eV per atom

The structure in CIF format:
```
data_Tm3Ni9P2Ir
_symmetry_space_group_name_H-M 'P 1'
_symmetry_Int_Tables_number 1
_symmetry_space_group_name_Hall 'P 1'
_cell_length_a 5.218
_cell_length_b 5.218
_cell_length_c 10.071
_cell_angle_alpha 90.00
_cell_angle_beta 90.00
_cell_angle_gamma 120.00
loop_
_atom_site_label
_atom_site_type_symbol
_atom_site_fract_x
_atom_site_fract_y
_atom_site_fract_z
Ni1 Ni 0.682 0.841 0.298
Ni2 Ni 0.500 0.500 0.000
Ni3 Ni 0.318 0.159 0.702
Ni4 Ni 0.159 0.841 0.298
Ni5 Ni 0.159 0.318 0.298
Ni6 Ni 0.500 0.000 0.000
Ni7 Ni 0.841 0.159 0.702
Ni8 Ni 0.841 0.682 0.702
Ni9 Ni 0.000 0.500 0.000
Tm1 Tm 0.333 0.667 0.580
Tm2 Tm 0.000 0.000 0.000
Tm3 Tm 0.667 0.333 0.420
P1 P 0.667 0.333 0.846
P2 P 0.333 0.667 0.154
Ir1 Ir 0.000 0.000 0.500
```



6.
U2NiP3Ir4: relaxed, PBE.

Values from the calculation:
- Energy relative to the elements: -0.64 eV per atom

The structure in CIF format:
```
data_U2NiP3Ir4
_symmetry_space_group_name_H-M 'P 1'
_symmetry_Int_Tables_number 1
_symmetry_space_group_name_Hall 'P 1'
_cell_length_a 3.993
_cell_length_b 3.993
_cell_length_c 10.104
_cell_angle_alpha 90.00
_cell_angle_beta 90.00
_cell_angle_gamma 90.00
loop_
_atom_site_label
_atom_site_type_symbol
_atom_site_fract_x
_atom_site_fract_y
_atom_site_fract_z
Ir1 Ir 0.000 0.000 0.000
Ir2 Ir 0.500 0.500 0.000
Ir3 Ir 0.000 0.500 0.362
Ir4 Ir 0.500 0.000 0.638
P1 P 0.000 0.000 0.500
P2 P 0.500 0.000 0.864
P3 P 0.000 0.500 0.136
Ni1 Ni 0.500 0.500 0.500
U1 U 0.000 0.500 0.744
U2 U 0.500 0.000 0.256
```